An optimized crystal structure of KNb2Cl6, computed with PBE-GGA.

abc: 9.2943 9.2943 6.3164
angles: 98.00 98.00 62.31
Last column: nearest neighbours and their distance in Å.
Atoms (fractional coordinates):
K 0.1935 0.8065 0.7500  6 Cl 3.20-3.37
K 0.8065 0.1935 0.2500  6 Cl 3.20-3.37
Nb 0.2276 0.2820 0.7522  5 Cl 2.41-2.51
Nb 0.2820 0.2276 0.2522  5 Cl 2.41-2.51
Nb 0.7180 0.7724 0.7478  5 Cl 2.41-2.51
Nb 0.7724 0.7180 0.2478  5 Cl 2.41-2.51
Cl 0.0117 0.5685 0.7665  2 Nb 2.48-2.49
Cl 0.0132 0.2002 0.6983  1 Nb 2.41
Cl 0.2002 0.0132 0.1983  1 Nb 2.41
Cl 0.3767 0.3788 0.5520  2 Nb 2.51
Cl 0.3788 0.3767 0.0520  2 Nb 2.51
Cl 0.4315 0.9883 0.7335  2 Nb 2.48-2.49
Cl 0.5685 0.0117 0.2665  2 Nb 2.48-2.49
Cl 0.6212 0.6233 0.9480  2 Nb 2.51
Cl 0.6233 0.6212 0.4480  2 Nb 2.51
Cl 0.7998 0.9868 0.8017  1 Nb 2.41
Cl 0.9868 0.7998 0.3017  1 Nb 2.41
Cl 0.9883 0.4315 0.2335  2 Nb 2.48-2.49

Calculated values
V	26.5	A^3/atom
formation energy (no corrections)	-1.140	eV/atom
polymorph energy (0 for the lowest one)	210	meV/atom